{
  "formula": "YMg6Zr",
  "functional": "GGA-PBEsol",
  "state": "relaxed",
  "lattice_angstrom": [[4.643, 0.000, 0.000], [0.000, 6.313, 0.117], [0.000, -0.613, 6.284]],
  "species": ["Mg", "Zr", "Mg", "Mg", "Mg", "Mg", "Mg", "Y"],
  "fractional_positions": [[0.500, 0.500, 0.000], [0.500, 0.000, 0.000], [0.000, 0.759, 0.759], [0.000, 0.241, 0.241], [0.000, 0.758, 0.242], [0.500, 0.000, 0.500], [0.000, 0.242, 0.758], [0.500, 0.500, 0.500]],
  "energy_ev_per_cell": -26.24,
  "volume_a3_per_cell": 184.52
}

{
  "formula": "Li2MgIn",
  "functional": "GGA-PBEsol",
  "state": "relaxed",
  "lattice_angstrom": [[-2.750, 0.903, 0.802], [-1.605, -1.217, -4.132], [0.066, -5.512, 1.598]],
  "species": ["In", "Li", "Li", "Mg"],
  "fractional_positions": [[0.223, 0.500, 0.773], [0.848, 0.500, 0.245], [0.908, 0.000, 0.995], [0.520, 0.000, 0.487]],
  "energy_ev_per_cell": -9.41,
  "volume_a3_per_cell": 77.22
}

{
  "formula": "CuSb2O6",
  "functional": "GGA-PBEsol",
  "state": "relaxed",
  "lattice_angstrom": [[-4.606, 0.320, -0.707], [0.489, -2.103, -4.142], [-1.203, -8.304, 4.075]],
  "species": ["O", "O", "O", "O", "Sb", "Sb", "O", "Sb", "Sb", "O", "O", "Cu", "O", "O", "Cu", "O", "O", "O"],
  "fractional_positions": [[0.196, 0.196, 0.830], [0.804, 0.804, 0.170], [0.693, 0.307, 0.000], [0.196, 0.196, 0.170], [0.000, 0.000, 0.333], [0.000, 0.000, 0.667], [0.193, 0.193, 0.500], [0.500, 0.500, 0.833], [0.500, 0.500, 0.167], [0.304, 0.696, 0.670], [0.696, 0.304, 0.670], [0.500, 0.500, 0.500], [0.804, 0.804, 0.830], [0.307, 0.693, 0.000], [0.000, 0.000, 0.000], [0.304, 0.696, 0.330], [0.696, 0.304, 0.330], [0.807, 0.807, 0.500]],
  "volume_a3_per_cell": 203.52,
  "formation_energy_uncorrected_kj_per_mol_atoms": -116.7
}